Rb2MnNbAs | PBE | optimized geometry

abc: 6.9126 4.5396 6.9126
angles: 90.00 90.00 90.00
Each line ends with the local moment (μB).
Fractional positions:
Nb 0.5000 0.5000 0.5000  3.13
Mn 0.0000 0.0000 0.0000  -3.75
As 0.0000 0.5000 0.0000  0.08
Rb 0.0000 0.0000 0.5000  0.01
Rb 0.5000 0.0000 0.0000  0.01

Results
Energy = -3.998 eV per atom
Crystal system = tetragonal
Formation energy = 1.17 eV/atom
DOS(E_F) = 10.32 states/eV/f.u.